# Co2TcHIr, optimized geometry, DFT PBE
# - offset from the most stable computed form (meV/atom) = 49.1
data_Co2TcHIr
_chemical_formula_sum 'Co2 Tc1 H1 Ir1'
_cell_length_a 3.761
_cell_length_b 3.761
_cell_length_c 3.728
_cell_angle_alpha 90.00
_cell_angle_beta 90.00
_cell_angle_gamma 90.00
_space_group_name_H-M_alt 'P 4/m m m'
_space_group_IT_number 123
_space_group_name_Hall '-P 4 2'
loop_
_atom_site_label
_atom_site_type_symbol
_atom_site_fract_x
_atom_site_fract_y
_atom_site_fract_z
Co1 Co 0.000 0.500 0.000
Tc1 Tc 0.000 0.000 0.500
H1 H 0.500 0.500 0.000
Ir1 Ir 0.500 0.500 0.500

---

# DySi7Ir3, optimized geometry, DFT PBE
# - formation energy without anion corrections (eV per atom) = -0.72
data_DySi7Ir3
_chemical_formula_sum 'Dy6 Si42 Ir18'
_cell_length_a 7.6224
_cell_length_b 7.6224
_cell_length_c 20.2180
_cell_angle_alpha 90.00
_cell_angle_beta 90.00
_cell_angle_gamma 120.00
_space_group_name_H-M_alt 'R -3 c'
_space_group_IT_number 167
_space_group_name_Hall '-R 3 2"c'
loop_
_atom_site_label
_atom_site_type_symbol
_atom_site_fract_x
_atom_site_fract_y
_atom_site_fract_z
Dy1 Dy 0.0000 0.0000 0.0000
Si1 Si 0.0000 0.0000 0.2500
Si2 Si 0.0121 0.2018 0.1376
Ir1 Ir 0.0000 0.3204 0.2500

---

# Tl2InPt, optimized geometry, DFT PBE
# - offset from the most stable computed form (meV/atom) = 18.1
data_Tl2InPt
_chemical_formula_sum 'Tl2 In1 Pt1'
_cell_length_a 3.304
_cell_length_b 3.815
_cell_length_c 8.389
_cell_angle_alpha 90.00
_cell_angle_beta 100.76
_cell_angle_gamma 90.00
_space_group_name_H-M_alt 'P 1 m 1'
_space_group_IT_number 6
loop_
_space_group_symop_operation_xyz
'x,y,z'
'x,-y,z'
loop_
_atom_site_label
_atom_site_type_symbol
_atom_site_fract_x
_atom_site_fract_y
_atom_site_fract_z
Tl1 Tl 0.000 0.000 0.000
Tl2 Tl 0.336 0.500 0.687
In1 In 0.643 0.500 0.288
Pt1 Pt 0.208 0.000 0.423

---

> Number 1 is which compound?

Co2TcHIr

---

> What is the formula in the first record?

Co2TcHIr